Computed, not measured: crystalline Pr5Lu at its relaxed geometry at the PBE level of DFT.

Values from the calculation:
Energy of formation = 0.1 eV per formula unit
M_tot = 0.00 μB per formula unit
Raw total energy = -4.719 eV/atom

Lattice parameters (Å, degrees): 5.196 15.620 5.180 90.00 90.00 90.00
Space group Cmmm (No. 65)
Unique sites:
1 Pr 0.000 0.000 0.000
2 Pr 0.000 0.165 0.500
3 Pr 0.000 0.335 0.000
4 Lu 0.000 0.500 0.500